This record from the Open Quantum Materials Database describes an optimized crystal structure of SrAcTlCd. The functional is PBE-GGA.

Properties
- Volume: 136.42 Å³/cell
- E_tot: -10.6 eV per formula unit

```
SrAcTlCd
1.0
-2.516 3.675 3.681
-1.842 5.150 -1.865
-5.664 1.070 -0.404
Ac Cd Sr Tl
1 1 1 1
Direct
0.750 0.750 0.750 Ac
0.000 0.000 0.000 Cd
0.250 0.250 0.250 Sr
0.500 0.500 0.500 Tl
```